<a>
A relaxed La5Pm4Ho2 crystal, computed with PBE.

Lattice parameters (Å, degrees): 12.411 12.411 9.434 111.67 111.67 16.95
Fractional coordinates of all 11 atoms:
La 0.000 0.000 0.000
La 0.368 0.368 0.927
La 0.385 0.385 0.570
La 0.615 0.615 0.430
La 0.632 0.632 0.073
Pm 0.185 0.185 0.828
Pm 0.458 0.458 0.299
Pm 0.542 0.542 0.701
Pm 0.815 0.815 0.172
Ho 0.234 0.234 0.343
Ho 0.766 0.766 0.657

Results
- Size of the total moment: 0.0 μB per formula unit
- Symmetry: C2/m
- Fermi-level density of states: 17.86 states/eV/cell

<b>
A relaxed La5Pm4Ho2 crystal, computed with PBE.

Lattice parameters (Å, degrees): 9.090 3.575 11.939 90.00 94.55 90.00
Fractional coordinates of all 11 atoms:
La 0.000 0.000 0.000
La 0.067 0.000 0.293
La 0.306 0.000 0.835
La 0.694 0.000 0.165
La 0.933 0.000 0.707
Pm 0.220 0.500 0.550
Pm 0.341 0.500 0.112
Pm 0.659 0.500 0.888
Pm 0.780 0.500 0.450
Ho 0.443 0.000 0.365
Ho 0.557 0.000 0.635

Results
- Size of the total moment: 0.0 μB per formula unit
- Symmetry: P2/m
- Fermi-level density of states: 18.41 states/eV/cell

Which of them is most stable, and which least? Most stable: <b>; least stable: <a>.

<a>
A relaxed LaPm7Ho4 crystal, computed with PBE.

Lattice parameters (Å, degrees): 6.774 6.774 12.759 114.77 114.77 52.83
Fractional coordinates of all 12 atoms:
La 0.000 0.000 0.000
Pm 0.058 0.058 0.333
Pm 0.209 0.209 0.920
Pm 0.369 0.369 0.496
Pm 0.500 0.500 0.000
Pm 0.631 0.631 0.504
Pm 0.791 0.791 0.080
Pm 0.942 0.942 0.667
Ho 0.255 0.255 0.685
Ho 0.367 0.367 0.225
Ho 0.633 0.633 0.775
Ho 0.745 0.745 0.315

Results
- Size of the total moment: 0.0 μB per formula unit
- Symmetry: C2/m
- Fermi-level density of states: 18.14 states/eV/cell

<b>
A relaxed LaPm7Ho4 crystal, computed with PBE.

Lattice parameters (Å, degrees): 6.316 7.296 8.988 89.98 76.46 89.98
Fractional coordinates of all 12 atoms:
La 0.000 0.000 0.000
Pm 0.000 0.500 0.000
Pm 0.223 0.000 0.335
Pm 0.280 0.252 0.663
Pm 0.500 0.254 0.001
Pm 0.500 0.746 0.999
Pm 0.720 0.748 0.337
Pm 0.777 0.000 0.665
Ho 0.219 0.500 0.335
Ho 0.278 0.745 0.665
Ho 0.722 0.255 0.335
Ho 0.781 0.500 0.665

Results
- Size of the total moment: 0.0 μB per formula unit
- Symmetry: P-1
- Fermi-level density of states: 15.95 states/eV/cell

Which of them is most stable, and which least? Most stable: <b>; least stable: <a>.

<a>
A relaxed LaPm2Ho crystal, computed with PBE.

Lattice parameters (Å, degrees): 4.278 4.278 7.518 90.00 90.00 90.00
Fractional coordinates of all 4 atoms:
La 0.000 0.000 0.000
Pm 0.500 0.500 0.263
Pm 0.500 0.500 0.737
Ho 0.000 0.000 0.500

Results
- Size of the total moment: 0.0 μB per formula unit
- Symmetry: P4/mmm
- Fermi-level density of states: 9.46 states/eV/cell

<b>
A relaxed LaPm2Ho crystal, computed with PBE.

Lattice parameters (Å, degrees): 6.386 5.872 14.730 90.00 90.00 90.00
Fractional coordinates of all 16 atoms:
La 0.085 0.250 0.188
La 0.415 0.750 0.688
La 0.585 0.250 0.312
La 0.915 0.750 0.812
Pm 0.083 0.250 0.685
Pm 0.086 0.250 0.938
Pm 0.414 0.750 0.438
Pm 0.417 0.750 0.185
Pm 0.583 0.250 0.815
Pm 0.586 0.250 0.562
Pm 0.914 0.750 0.062
Pm 0.917 0.750 0.315
Ho 0.081 0.250 0.439
Ho 0.419 0.750 0.939
Ho 0.581 0.250 0.061
Ho 0.919 0.750 0.561

Results
- Size of the total moment: 0.0 μB per formula unit
- Symmetry: Pnma
- Fermi-level density of states: 29.03 states/eV/cell

Which of them is most stable, and which least? Most stable: <b>; least stable: <a>.

<a>
A relaxed LaPm2Ho crystal, computed with PBE.

Lattice parameters (Å, degrees): 5.808 5.808 5.808 60.00 60.00 60.00
Fractional coordinates of all 4 atoms:
La 0.000 0.000 0.000
Pm 0.250 0.250 0.250
Pm 0.750 0.750 0.750
Ho 0.500 0.500 0.500

Results
- Size of the total moment: 1.5 μB per formula unit
- Symmetry: Fm-3m
- Fermi-level density of states: 9.60 states/eV/cell

<b>
A relaxed LaPm2Ho crystal, computed with PBE.

Lattice parameters (Å, degrees): 6.342 6.342 6.267 99.52 99.52 33.45
Fractional coordinates of all 4 atoms:
La 0.000 0.000 0.000
Pm 0.248 0.248 0.748
Pm 0.752 0.752 0.252
Ho 0.500 0.500 0.500

Results
- Size of the total moment: 0.0 μB per formula unit
- Symmetry: C2/m
- Fermi-level density of states: 6.08 states/eV/cell

Which of them is most stable, and which least? Most stable: <b>; least stable: <a>.

<a>
A relaxed La4Pm3Ho4 crystal, computed with PBE.

Lattice parameters (Å, degrees): 10.831 6.706 6.706 51.24 90.00 90.00
Fractional coordinates of all 11 atoms:
La 0.000 0.000 0.000
La 0.208 0.803 0.803
La 0.500 0.919 0.919
La 0.792 0.803 0.803
Pm 0.000 0.293 0.293
Pm 0.290 0.454 0.454
Pm 0.710 0.454 0.454
Ho 0.000 0.595 0.595
Ho 0.307 0.148 0.148
Ho 0.500 0.646 0.646
Ho 0.693 0.148 0.148

Results
- Size of the total moment: 0.0 μB per formula unit
- Symmetry: Amm2
- Fermi-level density of states: 18.00 states/eV/cell

<b>
A relaxed La4Pm3Ho4 crystal, computed with PBE.

Lattice parameters (Å, degrees): 12.339 12.339 12.339 163.15 134.55 48.81
Fractional coordinates of all 11 atoms:
La 0.023 0.854 0.169
La 0.316 0.146 0.169
La 0.684 0.854 0.831
La 0.977 0.146 0.831
Pm 0.000 0.500 0.500
Pm 0.394 0.394 0.000
Pm 0.606 0.606 0.000
Ho 0.264 0.764 0.500
Ho 0.317 0.000 0.317
Ho 0.683 0.000 0.683
Ho 0.736 0.236 0.500

Results
- Size of the total moment: 0.0 μB per formula unit
- Symmetry: Immm
- Fermi-level density of states: 14.39 states/eV/cell

Which of them is most stable, and which least? Most stable: <b>; least stable: <a>.

<a>
A relaxed La7PmHo4 crystal, computed with PBE.

Lattice parameters (Å, degrees): 8.746 8.746 9.697 116.51 116.51 40.79
Fractional coordinates of all 12 atoms:
La 0.000 0.000 0.000
La 0.278 0.278 0.749
La 0.287 0.287 0.108
La 0.411 0.411 0.542
La 0.589 0.589 0.458
La 0.713 0.713 0.892
La 0.722 0.722 0.251
Pm 0.500 0.500 0.000
Ho 0.065 0.065 0.702
Ho 0.167 0.167 0.366
Ho 0.833 0.833 0.634
Ho 0.935 0.935 0.298

Results
- Size of the total moment: 0.3 μB per formula unit
- Symmetry: C2/m
- Fermi-level density of states: 20.54 states/eV/cell

<b>
A relaxed La7PmHo4 crystal, computed with PBE.

Lattice parameters (Å, degrees): 6.422 7.377 9.081 90.02 103.55 90.03
Fractional coordinates of all 12 atoms:
La 0.000 0.000 0.000
La 0.222 0.500 0.666
La 0.281 0.751 0.335
La 0.499 0.754 0.996
La 0.501 0.246 0.004
La 0.719 0.249 0.665
La 0.778 0.500 0.334
Pm 0.000 0.500 0.000
Ho 0.219 0.999 0.664
Ho 0.277 0.244 0.333
Ho 0.723 0.756 0.667
Ho 0.781 0.001 0.336

Results
- Size of the total moment: 0.0 μB per formula unit
- Symmetry: P-1
- Fermi-level density of states: 18.66 states/eV/cell

Which of them is most stable, and which least? Most stable: <b>; least stable: <a>.